The following is a GGA+U calculation of a relaxed structure of Ba3CeMn2O9, from Alexandria.

Results
For the density of states at the Fermi level, the calculation gives 0.1 states/eV/cell. The energy is -106.87 eV/cell. The calculation puts the calculated density at 6.3 g/cm³.

Lattice parameters (Å, degrees): 5.8163 5.8163 7.2071 90.00 90.00 120.00
Space group P-3m1 (No. 164)
Unique sites:
Ba: 0.0000 0.0000 0.0000 x1
Ba: 0.3333 0.6667 0.6886 x2
Ce: 0.0000 0.0000 0.5000 x1
Mn: 0.3333 0.6667 0.1590 x2
O: 0.0000 0.5000 0.0000 x3
O: 0.1775 0.3550 0.3167 x6